Density functional theory data (PBE) for an optimized crystal structure of SrEuI.

The value obtained for the calculated volume is 40.82 Å³ per atom. The uncorrected formation energy comes out at -0.70 eV/atom. Its total magnetization is 7.8 μB per formula unit.

The space group is I4mm (No. 107) and the conventional cell measures 4.041, 4.041 and 14.999 Å, with angles of 90.00, 90.00 and 90.00 degrees. The asymmetric unit holds Sr at (0.000, 0.000, 0.000), Eu at (0.000, 0.000, 0.697) and I at (0.000, 0.000, 0.340).

=====

Density functional theory data (PBE) for an optimized crystal structure of AlHg2As.

The value obtained for the calculated volume is 25.13 Å³ per atom. As for the formation energy: 0.02 eV per atom. Its total magnetization is 0.0 μB per formula unit.

The space group is P4mm (No. 99) and the conventional cell measures 3.557, 3.557 and 7.943 Å, with angles of 90.00, 90.00 and 90.00 degrees. The asymmetric unit holds Al at (0.000, 0.000, 0.000), Hg at (0.000, 0.000, 0.334), Hg at (0.500, 0.500, 0.579) and As at (0.500, 0.500, 0.926).

=====

Density functional theory data (PBE) for an optimized crystal structure of AlCd2I.

The value obtained for the calculated volume is 37.47 Å³ per atom. The uncorrected formation energy comes out at 0.14 eV/atom. Its total magnetization is 0.0 μB per formula unit.

The space group is I-42d (No. 122) and the conventional cell measures 7.121, 7.121 and 11.824 Å, with angles of 90.00, 90.00 and 90.00 degrees. The asymmetric unit holds Al at (0.000, 0.000, 0.000), Cd at (0.200, 0.250, 0.125) and I at (0.000, 0.000, 0.500).

=====

Density functional theory data (PBE) for an optimized crystal structure of LiSmAg.

The value obtained for the calculated volume is 27.07 Å³ per atom. As for the formation energy: 0.03 eV per atom. Its total magnetization is 0.0 μB per formula unit.

The space group is F-43m (No. 216) and the conventional cell measures 6.875, 6.875 and 6.875 Å, with angles of 90.00, 90.00 and 90.00 degrees. The asymmetric unit holds Li at (0.000, 0.000, 0.000), Sm at (0.000, 0.000, 0.500) and Ag at (0.250, 0.250, 0.750).

=====

Density functional theory data (PBE) for an optimized crystal structure of LiPr8Nd6.

The value obtained for the calculated volume is 34.76 Å³ per atom. As for the formation energy: 0.09 eV per atom. Its total magnetization is 0.0 μB per formula unit.

The space group is R-3 (No. 148, hexagonal axes) and the conventional cell measures 9.9177, 9.9177 and 18.3604 Å, with angles of 90.00, 90.00 and 120.00 degrees. The asymmetric unit holds Li at (0.0000, 0.0000, 0.0000), Pr at (0.0000, 0.0000, 0.2432), Pr at (0.0465, 0.2635, 0.9075) and Nd at (0.0349, 0.2356, 0.4122).

=====

Density functional theory data (PBE) for an optimized crystal structure of NaTl3Sb2.

The value obtained for the calculated volume is 31.73 Å³ per atom. The uncorrected formation energy comes out at -0.07 eV/atom. Its total magnetization is 0.0 μB per formula unit.

The space group is C2/m (No. 12) and the conventional cell measures 19.242, 5.066 and 7.864 Å, with angles of 90.00, 96.56 and 90.00 degrees. The asymmetric unit holds Na at (0.150, 0.000, 0.244), Tl at (0.053, 0.000, 0.800), Tl at (0.107, 0.500, 0.522), Tl at (0.203, 0.500, 0.913), Sb at (0.067, 0.500, 0.099) and Sb at (0.232, 0.000, 0.625).

=====

Density functional theory data (PBE) for an optimized crystal structure of Ca2ZnSn3Pd4.

The value obtained for the calculated volume is 22.11 Å³ per atom. As for the formation energy: -0.65 eV per atom. Its total magnetization is 0.0 μB per formula unit.

The space group is P-4m2 (No. 115) and the conventional cell measures 4.605, 4.605 and 10.430 Å, with angles of 90.00, 90.00 and 90.00 degrees. The asymmetric unit holds Ca at (0.000, 0.500, 0.246), Zn at (0.000, 0.000, 0.500), Sn at (0.000, 0.500, 0.871), Sn at (0.500, 0.500, 0.500), Pd at (0.000, 0.000, 0.000), Pd at (0.000, 0.500, 0.622) and Pd at (0.500, 0.500, 0.000).

=====

Density functional theory data (PBE) for an optimized crystal structure of Pr3Zn9Ga2.

The value obtained for the calculated volume is 19.52 Å³ per atom. As for the formation energy: -0.35 eV per atom. Its total magnetization is 0.0 μB per formula unit.

The space group is Immm (No. 71) and the conventional cell measures 4.489, 9.275 and 13.128 Å, with angles of 90.00, 90.00 and 90.00 degrees. The asymmetric unit holds Pr at (0.000, 0.000, 0.000), Pr at (0.000, 0.000, 0.303), Zn at (0.000, 0.277, 0.143), Zn at (0.000, 0.365, 0.341), Zn at (0.000, 0.500, 0.000) and Ga at (0.000, 0.203, 0.500).